Nd6SnOs | Alexandria via LeMat-Bulk | PBE-GGA | relaxed; calculated formation energy = -7.6 kJ/mol of atoms
1.0
6.7061 0.2061 0.0000
1.7607 7.8799 0.0000
0.8803 3.9399 5.1945
Sn Nd Os
1 6 1
Cartesian
0.0000 0.0000 0.0000
5.9386 3.1079 1.9293
3.4085 8.9179 3.2652
6.8190 7.0479 3.2652
2.5282 4.9780 1.9293
2.7868 1.7291 0.0000
5.6800 6.3568 0.0000
4.2334 4.0430 0.0000